Density functional theory data (GGA-PBE) for a geometry-optimized KFe2Pt structure.

Cell lengths 4.7973, 4.7973, 6.4281 Å; angles 84.61, 84.61, 34.73 degrees
Site moments in Bohr magnetons follow the coordinates.
Sites, in units of the cell vectors:
Fe 0.9783 0.9783 0.1181  2.80
Fe 0.5217 0.5217 0.3819  2.80
Pt 0.2500 0.2500 0.2500  0.30
K 0.7500 0.7500 0.7500  0.00

Results
Space-group type: C2/m (12)
Magnetic moment in μB per atom: 1.54
Formation enthalpy at 0 K in eV/atom: 0.392